Entry 1:
Compound: LiBRh2
Source: the Alexandria database
Functional: PBE
Structure: optimized geometry

Its electronic total energy is -5.993 eV/atom. The calculation puts the total magnetization at 0.0 μB per formula unit.

It has space group R-3m (No. 166, hexagonal axes), with a = 2.8058 Å, b = 2.8058 Å, c = 23.1838 Å, α = 90.00°, β = 90.00° and γ = 120.00°. The asymmetric unit holds Li at (0.0000, 0.0000, 0.0000), B at (0.0000, 0.0000, 0.5000) and Rh at (0.0000, 0.0000, 0.1065).

Entry 2:
Compound: MnAl3Br
Source: the Alexandria database
Functional: PBE
Structure: optimized geometry

For the polymorph energy (0 for the lowest one), the calculation gives 0 meV per atom. The uncorrected formation energy is 1.53 eV/f.u. The calculation puts the total magnetization at 2.9 μB per formula unit.

It has space group Pm-3m (No. 221), with a = 4.844 Å, b = 4.844 Å, c = 4.844 Å, α = 90.00°, β = 90.00° and γ = 90.00°. The asymmetric unit holds Mn at (0.000, 0.000, 0.000), Al at (0.000, 0.000, 0.500) and Br at (0.500, 0.500, 0.500).

Entry 3:
Compound: Pm3SmPd
Source: the Alexandria database
Functional: PBE
Structure: optimized geometry

For the polymorph energy (0 for the lowest one), the calculation gives 93 meV per atom. The calculation puts the total magnetization at 0.0 μB per formula unit.

It has space group C2/m (No. 12), with a = 11.973 Å, b = 8.676 Å, c = 8.210 Å, α = 90.00°, β = 130.32° and γ = 90.00°. The asymmetric unit holds Pm at (0.041, 0.000, 0.315), Pm at (0.213, 0.303, 0.746), Sm at (0.070, 0.500, 0.270) and Pd at (0.234, 0.500, 0.094).

Entry 4:
Compound: FeNiAsSe2
Source: the Alexandria database
Functional: PBE
Structure: optimized geometry

For the polymorph energy (0 for the lowest one), the calculation gives 0 meV per atom. The uncorrected formation energy is 3.21 eV/f.u. The calculation puts the total magnetization at 3.4 μB per formula unit.

It has space group P4/mmm (No. 123), with a = 4.842 Å, b = 4.842 Å, c = 4.362 Å, α = 90.00°, β = 90.00° and γ = 90.00°. The asymmetric unit holds Fe at (0.000, 0.000, 0.000), Ni at (0.500, 0.500, 0.500), As at (0.500, 0.500, 0.000) and Se at (0.000, 0.500, 0.500).

Entry 5:
Compound: Cr2CoAu
Source: the Alexandria database
Functional: PBE
Structure: optimized geometry

For the polymorph energy (0 for the lowest one), the calculation gives 218 meV per atom. The calculation puts the total magnetization at 3.4 μB per formula unit.

It has space group R3m (No. 160, hexagonal axes), with a = 2.7203 Å, b = 2.7203 Å, c = 25.3331 Å, α = 90.00°, β = 90.00° and γ = 120.00°. The asymmetric unit holds Cr at (0.0000, 0.0000, 0.0000), Cr at (0.0000, 0.0000, 0.2586), Co at (0.0000, 0.0000, 0.5181) and Au at (0.0000, 0.0000, 0.7600).

Entry 6:
Compound: RbGa2Bi2
Source: the Alexandria database
Functional: PBE
Structure: optimized geometry

For the polymorph energy (0 for the lowest one), the calculation gives 127 meV per atom. The calculation puts the total magnetization at 0.0 μB per formula unit.

It has space group P4/mbm (No. 127), with a = 9.223 Å, b = 9.223 Å, c = 3.543 Å, α = 90.00°, β = 90.00° and γ = 90.00°. The asymmetric unit holds Rb at (0.000, 0.000, 0.000), Ga at (0.127, 0.373, 0.000) and Bi at (0.162, 0.662, 0.500).